No. 1
Nd2TmAl9: optimized geometry, PBE-GGA.

## Properties
- formation enthalpy at 0 K (eV/atom) = -0.33
- total DFT energy (no corrections) (eV per atom) = -4.3071
- density of states at the Fermi level (states/eV/atom) = 0.49

a = 5.6409 Å, b = 5.6409 Å, c = 26.4490 Å
α = 90.00°, β = 90.00°, γ = 120.00°
Space group R-3m (No. 166, hexagonal axes)
Symmetry-distinct sites (fractional):
Nd1 0.0000 0.0000 0.1418 x6
Tm1 0.0000 0.0000 0.0000 x3
Al1 0.0000 0.0000 0.3352 x6
Al2 0.0000 0.0000 0.5000 x3
Al3 0.0073 0.5036 0.9179 x18

***

No. 2
NdTm2Al9: optimized geometry, PBE-GGA.

## Properties
- formation enthalpy at 0 K (eV/atom) = -0.38
- total DFT energy (no corrections) (eV per atom) = -4.3272
- density of states at the Fermi level (states/eV/atom) = 0.41

a = 5.5750 Å, b = 5.5750 Å, c = 26.2368 Å
α = 90.00°, β = 90.00°, γ = 120.00°
Space group R-3m (No. 166, hexagonal axes)
Symmetry-distinct sites (fractional):
Nd1 0.0000 0.0000 0.0000 x3
Tm1 0.0000 0.0000 0.1422 x6
Al1 0.0000 0.0000 0.3356 x6
Al2 0.0000 0.0000 0.5000 x3
Al3 0.0075 0.5038 0.9158 x18